Record 1
# Ac2HoTl3Se6 GGA-PBE relaxed
data_Ac2HoTl3Se6
_chemical_formula_sum 'Ac4 Ho2 Tl6 Se12'
_space_group_name_H-M_alt 'C 1 2/m 1'
_space_group_IT_number 12
_cell_length_a 7.702
_cell_length_b 13.315
_cell_length_c 8.139
_cell_angle_alpha 90.00
_cell_angle_beta 108.34
_cell_angle_gamma 90.00
loop_
_space_group_symop_operation_xyz
'x,y,z'
'-x,-y,-z'
'-x,y,-z'
'x,-y,z'
'x+1/2,y+1/2,z'
'-x+1/2,-y+1/2,-z'
'-x+1/2,y+1/2,-z'
'x+1/2,-y+1/2,z'
loop_
_atom_site_label
_atom_site_type_symbol
_atom_site_fract_x
_atom_site_fract_y
_atom_site_fract_z
_atom_site_occupancy
Ac1 Ac 0.000 0.167 0.000 1
Ho1 Ho 0.000 0.500 0.000 1
Tl1 Tl 0.000 0.000 0.500 1
Tl2 Tl 0.000 0.333 0.500 1
Se1 Se 0.227 0.344 0.211 1
Se2 Se 0.241 0.500 0.785 1
# * V: 396.14 Å³/f.u.
# * electronic total energy: -115.46 eV for the cell shown
# * total moment: 0.0 μB/cell
# * DOS(E_F): 0.00 states/eV per atom
# * energy relative to the elements, uncorrected: -1.411 eV/atom

---

Record 2
# MnV2Co4 GGA-PBE relaxed
data_MnV2Co4
_chemical_formula_sum 'Mn4 V8 Co16'
_space_group_name_H-M_alt 'C m c e'
_space_group_IT_number 64
_space_group_name_Hall '-C 2ac 2'
_cell_length_a 8.351
_cell_length_b 4.816
_cell_length_c 8.319
_cell_angle_alpha 90.00
_cell_angle_beta 90.00
_cell_angle_gamma 90.00
loop_
_atom_site_label
_atom_site_type_symbol
_atom_site_fract_x
_atom_site_fract_y
_atom_site_fract_z
_atom_site_occupancy
Mn1 Mn 0.000 0.000 0.000 1
V1 V 0.161 0.000 0.500 1
Co1 Co 0.000 0.129 0.275 1
Co2 Co 0.250 0.159 0.750 1
# * formation energy: 0.127 eV per atom
# * V: 83.64 Å³/f.u.
# * electronic total energy: -219.76 eV for the cell shown
# * total moment: 8.0 μB/cell
# * DOS(E_F): 1.15 states/eV per atom

---

Record 3
# K2CaScI GGA-PBE relaxed
data_K2CaScI
_chemical_formula_sum 'K2 Ca1 Sc1 I1'
_space_group_name_H-M_alt 'P 4/m m m'
_space_group_IT_number 123
_space_group_name_Hall '-P 4 2'
_cell_length_a 7.531
_cell_length_b 7.531
_cell_length_c 5.851
_cell_angle_alpha 90.00
_cell_angle_beta 90.00
_cell_angle_gamma 90.00
loop_
_atom_site_label
_atom_site_type_symbol
_atom_site_fract_x
_atom_site_fract_y
_atom_site_fract_z
_atom_site_occupancy
K1 K 0.000 0.500 0.000 1
Ca1 Ca 0.000 0.000 0.000 1
Sc1 Sc 0.500 0.500 0.500 1
I1 I 0.000 0.000 0.500 1
# * V: 331.89 Å³/f.u.
# * electronic total energy: -9.89 eV for the cell shown
# * excess energy over the best structure of this formula in the dataset: 10 meV per atom
# * total moment: 1.4 μB/cell
# * DOS(E_F): 1.44 states/eV per atom
# * energy relative to the elements, uncorrected: 0.438 eV/atom

---

Record 4
# Be2NiMo GGA-PBE relaxed
data_Be2NiMo
_chemical_formula_sum 'Be8 Ni4 Mo4'
_space_group_name_H-M_alt 'F -4 3 m'
_space_group_IT_number 216
_space_group_name_Hall 'F -4 2 3'
_cell_length_a 5.628
_cell_length_b 5.628
_cell_length_c 5.628
_cell_angle_alpha 90.00
_cell_angle_beta 90.00
_cell_angle_gamma 90.00
loop_
_atom_site_label
_atom_site_type_symbol
_atom_site_fract_x
_atom_site_fract_y
_atom_site_fract_z
_atom_site_occupancy
Be1 Be 0.000 0.000 0.000 1
Be2 Be 0.250 0.250 0.250 1
Ni1 Ni 0.000 0.000 0.500 1
Mo1 Mo 0.250 0.250 0.750 1
# * formation energy: 0.096 eV per atom
# * V: 44.57 Å³/f.u.
# * electronic total energy: -94.72 eV for the cell shown
# * excess energy over the best structure of this formula in the dataset: 319 meV per atom
# * total moment: 4.9 μB/cell
# * DOS(E_F): 1.12 states/eV per atom

---

Record 5
# MnSnCl2 GGA-PBE relaxed
data_MnSnCl2
_chemical_formula_sum 'Mn4 Sn4 Cl8'
_space_group_name_H-M_alt 'F m -3 m'
_space_group_IT_number 225
_space_group_name_Hall '-F 4 2 3'
_cell_length_a 7.106
_cell_length_b 7.106
_cell_length_c 7.106
_cell_angle_alpha 90.00
_cell_angle_beta 90.00
_cell_angle_gamma 90.00
loop_
_atom_site_label
_atom_site_type_symbol
_atom_site_fract_x
_atom_site_fract_y
_atom_site_fract_z
_atom_site_occupancy
Mn1 Mn 0.000 0.000 0.000 1
Sn1 Sn 0.000 0.000 0.500 1
Cl1 Cl 0.250 0.250 0.250 1
# * V: 89.71 Å³/f.u.
# * electronic total energy: -67.28 eV for the cell shown
# * excess energy over the best structure of this formula in the dataset: 324 meV per atom
# * total moment: 17.2 μB/cell
# * DOS(E_F): 0.79 states/eV per atom
# * energy relative to the elements, uncorrected: 0.011 eV/atom

---

Record 6
# Ir4Pt GGA-PBE relaxed
data_Ir4Pt
_chemical_formula_sum 'Ir8 Pt2'
_space_group_name_H-M_alt 'I 4/m m m'
_space_group_IT_number 139
_space_group_name_Hall '-I 4 2'
_cell_length_a 3.612
_cell_length_b 3.612
_cell_length_c 12.536
_cell_angle_alpha 90.00
_cell_angle_beta 90.00
_cell_angle_gamma 90.00
loop_
_atom_site_label
_atom_site_type_symbol
_atom_site_fract_x
_atom_site_fract_y
_atom_site_fract_z
_atom_site_occupancy
Ir1 Ir 0.000 0.000 0.098 1
Ir2 Ir 0.000 0.500 0.250 1
Pt1 Pt 0.000 0.000 0.500 1
# * formation energy: 0.424 eV per atom
# * V: 81.76 Å³/f.u.
# * electronic total energy: -78.73 eV for the cell shown
# * excess energy over the best structure of this formula in the dataset: 387 meV per atom
# * total moment: 0.0 μB/cell
# * DOS(E_F): 0.75 states/eV per atom

---

Record 7
# PmY3Al2 GGA-PBE relaxed
data_PmY3Al2
_chemical_formula_sum 'Pm2 Y6 Al4'
_space_group_name_H-M_alt 'P m c 21'
_space_group_IT_number 26
_cell_length_a 5.138
_cell_length_b 9.608
_cell_length_c 6.599
_cell_angle_alpha 90.00
_cell_angle_beta 90.00
_cell_angle_gamma 90.00
loop_
_space_group_symop_operation_xyz
'x,y,z'
'-x,-y,z+1/2'
'-x,y,z'
'x,-y,z+1/2'
loop_
_atom_site_label
_atom_site_type_symbol
_atom_site_fract_x
_atom_site_fract_y
_atom_site_fract_z
_atom_site_occupancy
Pm1 Pm 0.000 0.043 0.000 1
Y1 Y 0.000 0.325 0.649 1
Y2 Y 0.500 0.181 0.284 1
Y3 Y 0.500 0.455 0.937 1
Al1 Al 0.000 0.357 0.174 1
Al2 Al 0.500 0.147 0.758 1
# * formation energy: -0.299 eV per atom
# * V: 162.88 Å³/f.u.
# * electronic total energy: -66.85 eV for the cell shown
# * excess energy over the best structure of this formula in the dataset: 0 meV per atom
# * total moment: 0.0 μB/cell
# * DOS(E_F): 0.89 states/eV per atom

---

Record 8
# Tm5Al2In GGA-PBE relaxed
data_Tm5Al2In
_chemical_formula_sum 'Tm20 Al8 In4'
_space_group_name_H-M_alt 'I 4/m c m'
_space_group_IT_number 140
_space_group_name_Hall '-I 4 2c'
_cell_length_a 7.741
_cell_length_b 7.741
_cell_length_c 14.131
_cell_angle_alpha 90.00
_cell_angle_beta 90.00
_cell_angle_gamma 90.00
loop_
_atom_site_label
_atom_site_type_symbol
_atom_site_fract_x
_atom_site_fract_y
_atom_site_fract_z
_atom_site_occupancy
Tm1 Tm 0.000 0.000 0.000 1
Tm2 Tm 0.166 0.334 0.147 1
Al1 Al 0.124 0.376 0.500 1
In1 In 0.000 0.000 0.250 1
# * formation energy: -0.336 eV per atom
# * V: 211.70 Å³/f.u.
# * electronic total energy: -141.09 eV for the cell shown
# * total moment: 0.0 μB/cell
# * DOS(E_F): 0.80 states/eV per atom

---

Record 9
# AcGaPdPt2 GGA-PBE relaxed
data_AcGaPdPt2
_chemical_formula_sum 'Ac2 Ga2 Pd2 Pt4'
_space_group_name_H-M_alt 'I -4 m 2'
_space_group_IT_number 119
_space_group_name_Hall 'I -4 -2'
_cell_length_a 4.150
_cell_length_b 4.150
_cell_length_c 12.191
_cell_angle_alpha 90.00
_cell_angle_beta 90.00
_cell_angle_gamma 90.00
loop_
_atom_site_label
_atom_site_type_symbol
_atom_site_fract_x
_atom_site_fract_y
_atom_site_fract_z
_atom_site_occupancy
Ac1 Ac 0.000 0.000 0.000 1
Ga1 Ga 0.000 0.500 0.750 1
Pd1 Pd 0.000 0.500 0.250 1
Pt1 Pt 0.000 0.000 0.390 1
# * formation energy: -0.811 eV per atom
# * V: 105.00 Å³/f.u.
# * electronic total energy: -56.92 eV for the cell shown
# * total moment: 0.0 μB/cell
# * DOS(E_F): 0.53 states/eV per atom

---

Record 10
# AcCe2DyS4 GGA-PBE relaxed
data_AcCe2DyS4
_chemical_formula_sum 'Ac1 Ce2 Dy1 S4'
_space_group_name_H-M_alt 'P 1 2/m 1'
_space_group_IT_number 10
_cell_length_a 7.055
_cell_length_b 4.056
_cell_length_c 7.092
_cell_angle_alpha 90.00
_cell_angle_beta 109.19
_cell_angle_gamma 90.00
loop_
_space_group_symop_operation_xyz
'x,y,z'
'-x,-y,-z'
'-x,y,-z'
'x,-y,z'
loop_
_atom_site_label
_atom_site_type_symbol
_atom_site_fract_x
_atom_site_fract_y
_atom_site_fract_z
_atom_site_occupancy
Ac1 Ac 0.000 0.000 0.000 1
Ce1 Ce 0.500 0.000 0.500 1
Ce2 Ce 0.500 0.500 0.000 1
Dy1 Dy 0.000 0.500 0.500 1
S1 S 0.247 0.000 0.734 1
S2 S 0.257 0.500 0.268 1
# * V: 191.69 Å³/f.u.
# * electronic total energy: -52.99 eV for the cell shown
# * total moment: 1.7 μB/cell
# * DOS(E_F): 1.47 states/eV per atom
# * energy relative to the elements, uncorrected: -1.987 eV/atom

---

Record 11
# LiTiSi3 GGA-PBE relaxed
data_LiTiSi3
_chemical_formula_sum 'Li1 Ti1 Si3'
_space_group_name_H-M_alt 'P m -3 m'
_space_group_IT_number 221
_space_group_name_Hall '-P 4 2 3'
_cell_length_a 4.773
_cell_length_b 4.773
_cell_length_c 4.773
_cell_angle_alpha 90.00
_cell_angle_beta 90.00
_cell_angle_gamma 90.00
loop_
_atom_site_label
_atom_site_type_symbol
_atom_site_fract_x
_atom_site_fract_y
_atom_site_fract_z
_atom_site_occupancy
Li1 Li 0.000 0.000 0.000 1
Ti1 Ti 0.500 0.500 0.500 1
Si1 Si 0.000 0.500 0.500 1
# * V: 108.71 Å³/f.u.
# * electronic total energy: -24.37 eV for the cell shown
# * excess energy over the best structure of this formula in the dataset: 0 meV per atom
# * total moment: 0.0 μB/cell
# * DOS(E_F): 0.36 states/eV per atom
# * energy relative to the elements, uncorrected: 0.342 eV/atom

---

Record 12
# Na2Al2Cd GGA-PBE relaxed
data_Na2Al2Cd
_chemical_formula_sum 'Na4 Al4 Cd2'
_space_group_name_H-M_alt 'I 4/m m m'
_space_group_IT_number 139
_space_group_name_Hall '-I 4 2'
_cell_length_a 4.108
_cell_length_b 4.108
_cell_length_c 14.662
_cell_angle_alpha 90.00
_cell_angle_beta 90.00
_cell_angle_gamma 90.00
loop_
_atom_site_label
_atom_site_type_symbol
_atom_site_fract_x
_atom_site_fract_y
_atom_site_fract_z
_atom_site_occupancy
Na1 Na 0.000 0.500 0.250 1
Al1 Al 0.000 0.000 0.087 1
Cd1 Cd 0.000 0.000 0.500 1
# * formation energy: 0.296 eV per atom
# * V: 123.74 Å³/f.u.
# * electronic total energy: -19.11 eV for the cell shown
# * excess energy over the best structure of this formula in the dataset: 173 meV per atom
# * total moment: 0.0 μB/cell
# * DOS(E_F): 0.36 states/eV per atom

---

The lowest DOS(E_F) belongs to which entry? Ac2HoTl3Se6